[1]
The following is a GGA-PBE calculation of a relaxed CaMg12Ni5 crystal, from the Alexandria database.

Cell lengths 7.7045, 7.7045, 7.7045 Å; angles 117.02, 111.44, 100.38 degrees
With the nearest neighbours (Å) after each atom.
Sites, in units of the cell vectors:
Ca (0.0000, 0.0000, 0.0000)  12 Mg 3.12-3.29
Mg (0.1279, 0.8176, 0.3103)  3 Ni 2.57-2.72
Mg (0.2334, 0.3217, 0.5551)  4 Ni 2.70-2.74, 1 Mg 2.87
Mg (0.2334, 0.6783, 0.9118)  4 Ni 2.70-2.74, 1 Mg 2.87
Mg (0.2744, 0.0819, 0.8075)  2 Ni 2.56-2.71
Mg (0.2744, 0.4669, 0.1925)  2 Ni 2.56-2.71
Mg (0.4926, 0.1824, 0.3103)  3 Ni 2.57-2.72
Mg (0.5074, 0.8176, 0.6897)  3 Ni 2.57-2.72
Mg (0.7256, 0.5331, 0.8075)  2 Ni 2.56-2.71
Mg (0.7256, 0.9181, 0.1925)  2 Ni 2.56-2.71
Mg (0.7666, 0.3217, 0.0882)  4 Ni 2.70-2.74, 1 Mg 2.87
Mg (0.7666, 0.6783, 0.4449)  4 Ni 2.70-2.74, 1 Mg 2.87
Mg (0.8721, 0.1824, 0.6897)  3 Ni 2.57-2.72
Ni (0.1179, 0.6179, 0.5000)  1 Ni 2.33, 2 Mg 2.57
Ni (0.5000, 0.1495, 0.6495)  1 Ni 2.41, 2 Mg 2.56
Ni (0.5000, 0.5000, 0.0000)  8 Mg 2.71-2.72, 2 Ni 2.82
Ni (0.5000, 0.8505, 0.3505)  1 Ni 2.41, 2 Mg 2.56
Ni (0.8821, 0.3821, 0.5000)  1 Ni 2.33, 2 Mg 2.57

Properties
**E_form**: -0.074 eV/atom
**D(E_F)**: 9.285 states/eV/f.u.


[2]
The following is a GGA-PBE calculation of a relaxed Ca2Mg9Ni crystal, from the Alexandria database.

Cell lengths 10.7053, 10.7053, 10.7053 Å; angles 32.03, 32.03, 32.03 degrees
With the nearest neighbours (Å) after each atom.
Sites, in units of the cell vectors:
Ca (0.1440, 0.1440, 0.1440)  12 Mg 3.48-3.67, 3 Ca 3.68
Ca (0.8560, 0.8560, 0.8560)  12 Mg 3.48-3.67, 3 Ca 3.68
Mg (0.0804, 0.5832, 0.5832)  7 Mg 2.94-3.09
Mg (0.3337, 0.3337, 0.3337)  6 Mg 3.03-3.04
Mg (0.4168, 0.4168, 0.9196)  7 Mg 2.94-3.09
Mg (0.4168, 0.9196, 0.4168)  7 Mg 2.94-3.09
Mg (0.5000, 0.5000, 0.5000)  6 Mg 3.09
Mg (0.5832, 0.0804, 0.5832)  7 Mg 2.94-3.09
Mg (0.5832, 0.5832, 0.0804)  7 Mg 2.94-3.09
Mg (0.6663, 0.6663, 0.6663)  6 Mg 3.03-3.04
Mg (0.9196, 0.4168, 0.4168)  7 Mg 2.94-3.09
Ni (0.0000, 0.0000, 0.0000)  6 Mg 3.41

Properties
**E_form**: 0.190 eV/atom
**D(E_F)**: 6.955 states/eV/f.u.


[3]
The following is a GGA-PBE calculation of a relaxed Ca3MgNi crystal, from the Alexandria database.

Cell lengths 3.9648, 8.6538, 9.6086 Å; angles 74.58, 78.29, 76.78 degrees
With the nearest neighbours (Å) after each atom.
Sites, in units of the cell vectors:
Ca (0.0906, 0.2738, 0.0466)  3 Ni 2.89-2.91
Ca (0.3233, 0.5488, 0.3046)  3 Mg 3.48-3.62, 1 Ni 3.53, 4 Ca 3.79-3.85
Ca (0.3550, 0.0601, 0.7284)  3 Ni 2.90-2.96
Ca (0.6450, 0.9399, 0.2716)  3 Ni 2.90-2.96
Ca (0.6767, 0.4512, 0.6954)  3 Mg 3.48-3.62, 1 Ni 3.53, 4 Ca 3.79-3.85
Ca (0.9094, 0.7262, 0.9534)  3 Ni 2.89-2.91
Mg (0.0665, 0.7952, 0.5729)  1 Mg 3.41, 8 Ca 3.44-3.62
Mg (0.9335, 0.2048, 0.4271)  1 Mg 3.41, 8 Ca 3.44-3.62
Ni (0.2617, 0.9284, 0.0483)  2 Ni 2.39
Ni (0.7383, 0.0716, 0.9517)  2 Ni 2.39

Properties
**E_form**: -0.076 eV/atom
**D(E_F)**: 4.344 states/eV/f.u.
**Energy relative to the lowest polymorph listed for this composition**: 0.0 meV/atom